Record 1
# TbZnNi3Ir, relaxed, DFT GGA-PBE
data_TbZnNi3Ir
_chemical_formula_sum 'Tb1 Zn1 Ni3 Ir1'
_cell_length_a 5.045
_cell_length_b 5.045
_cell_length_c 4.067
_cell_angle_alpha 90.00
_cell_angle_beta 90.00
_cell_angle_gamma 120.00
_symmetry_space_group_name_H-M 'P 1'
_symmetry_Int_Tables_number 1
_symmetry_space_group_name_Hall 'P 1'
loop_
_atom_site_label
_atom_site_type_symbol
_atom_site_fract_x
_atom_site_fract_y
_atom_site_fract_z
_atom_site_occupancy
Tb1 Tb 0.000 0.000 0.000 1
Zn1 Zn 0.667 0.333 0.000 1
Ni1 Ni 0.501 0.002 0.500 1
Ni2 Ni 0.501 0.499 0.500 1
Ni3 Ni 0.998 0.499 0.500 1
Ir1 Ir 0.333 0.667 0.000 1
# ΔE_f, meV per atom: -389.8
# Raw total energy, eV for the cell shown: -33.791


Record 2
# Tb3Zn3NiIr2, relaxed, DFT GGA-PBE
data_Tb3Zn3NiIr2
_chemical_formula_sum 'Tb3 Zn3 Ni1 Ir2'
_cell_length_a 7.103
_cell_length_b 7.103
_cell_length_c 3.860
_cell_angle_alpha 90.00
_cell_angle_beta 90.00
_cell_angle_gamma 120.00
_symmetry_space_group_name_H-M 'P 1'
_symmetry_Int_Tables_number 1
_symmetry_space_group_name_Hall 'P 1'
loop_
_atom_site_label
_atom_site_type_symbol
_atom_site_fract_x
_atom_site_fract_y
_atom_site_fract_z
_atom_site_occupancy
Tb1 Tb 0.000 0.593 0.000 1
Tb2 Tb 0.407 0.407 0.000 1
Tb3 Tb 0.593 0.000 0.000 1
Zn1 Zn 0.000 0.239 0.500 1
Zn2 Zn 0.239 0.000 0.500 1
Zn3 Zn 0.761 0.761 0.500 1
Ni1 Ni 0.000 0.000 0.000 1
Ir1 Ir 0.333 0.667 0.500 1
Ir2 Ir 0.667 0.333 0.500 1
# ΔE_f, meV per atom: -625.4
# Raw total energy, eV for the cell shown: -46.589


Record 3
# TcNi2Ir2, relaxed, DFT GGA-PBE
data_TcNi2Ir2
_chemical_formula_sum 'Tc1 Ni2 Ir2'
_cell_length_a 5.978
_cell_length_b 5.978
_cell_length_c 5.978
_cell_angle_alpha 144.38
_cell_angle_beta 144.38
_cell_angle_gamma 51.26
_symmetry_space_group_name_H-M 'P 1'
_symmetry_Int_Tables_number 1
_symmetry_space_group_name_Hall 'P 1'
loop_
_atom_site_label
_atom_site_type_symbol
_atom_site_fract_x
_atom_site_fract_y
_atom_site_fract_z
_atom_site_occupancy
Tc1 Tc 0.000 0.000 0.000 1
Ni1 Ni 0.401 0.401 0.000 1
Ni2 Ni 0.599 0.599 0.000 1
Ir1 Ir 0.250 0.750 0.500 1
Ir2 Ir 0.750 0.250 0.500 1
# ΔE_f, meV per atom: 633.3
# Raw total energy, eV for the cell shown: -36.039


Record 4
# TcNi2Ir, relaxed, DFT GGA-PBE
data_TcNi2Ir
_chemical_formula_sum 'Tc1 Ni2 Ir1'
_cell_length_a 4.188
_cell_length_b 4.188
_cell_length_c 4.188
_cell_angle_alpha 60.00
_cell_angle_beta 60.00
_cell_angle_gamma 60.00
_symmetry_space_group_name_H-M 'P 1'
_symmetry_Int_Tables_number 1
_symmetry_space_group_name_Hall 'P 1'
loop_
_atom_site_label
_atom_site_type_symbol
_atom_site_fract_x
_atom_site_fract_y
_atom_site_fract_z
_atom_site_occupancy
Tc1 Tc 0.000 0.000 0.000 1
Ni1 Ni 0.500 0.500 0.500 1
Ni2 Ni 0.750 0.750 0.750 1
Ir1 Ir 0.250 0.250 0.250 1
# ΔE_f, meV per atom: 172.5
# Raw total energy, eV for the cell shown: -29.661